(1)
## KSr2Mn (PBE)

Data for crystalline KSr2Mn at its relaxed geometry.

a = 4.193 Å, b = 4.193 Å, c = 10.394 Å
α = 90.00°, β = 90.00°, γ = 90.00°
Element x y z (fractional)
1 K 0.000 0.000 0.000
2 Sr 0.000 0.000 0.385
3 Sr 0.500 0.500 0.665
4 Mn 0.500 0.500 0.235

Output
The calculation puts the formation energy at 1.9 eV/f.u. As for the symmetry: P4mm, No. 99. As for the final energy: -11.71 eV/cell. As for the magnetic moment: 3.95 μB/f.u.

(2)
## TaCd2Fe2 (PBE)

Data for crystalline TaCd2Fe2 at its relaxed geometry.

a = 6.914 Å, b = 6.914 Å, c = 6.914 Å
α = 148.98°, β = 148.98°, γ = 44.44°
Element x y z (fractional)
1 Ta 0.000 0.000 0.000
2 Cd 0.250 0.750 0.500
3 Cd 0.750 0.250 0.500
4 Fe 0.416 0.416 0.000
5 Fe 0.584 0.584 0.000

Output
The calculation puts the formation energy at 3.0 eV/f.u. As for the symmetry: I4/mmm, No. 139. As for the final energy: -27.56 eV/cell. As for the magnetic moment: 3.46 μB/f.u.